Entry 1:
Here is CsUCl4 after structural relaxation from the Alexandria database. Energies are from PBE.

a = 8.5409 Å, b = 7.1126 Å, c = 9.3541 Å
α = 108.06°, β = 113.46°, γ = 98.85°
Atoms (fractional coordinates):
Cl 0.0507 0.7333 0.9017
Cl 0.7615 0.4721 0.4289
Cl 0.3509 0.1684 0.9017
Cl 0.1674 0.9568 0.4289
Cl 0.8326 0.0432 0.5711
Cl 0.6491 0.8316 0.0983
Cl 0.9493 0.2667 0.0983
Cl 0.2385 0.5279 0.5711
Cs 0.6442 0.3942 0.7883
Cs 0.3558 0.6058 0.2117
U 0.0787 0.8287 0.6574
U 0.9213 0.1713 0.3426

Values from the calculation:
M_tot (μB per cell): 6.00
Crystal system: monoclinic
Total DFT energy (no corrections) (eV for the cell shown): -60.7
Formation energy (no corrections) (eV per atom): -1.81
Mass density (g/cm3): 3.624


Entry 2:
Here is CsU2Cl9 after structural relaxation from the Alexandria database. Energies are from PBE.

a = 4.2440 Å, b = 9.5890 Å, c = 9.5890 Å
α = 120.00°, β = 90.00°, γ = 90.00°
Atoms (fractional coordinates):
Cl 0.0000 0.5000 0.0000
Cl 0.5000 0.7812 0.2188
Cl 0.5000 0.2188 0.4375
Cl 0.5000 0.5625 0.7812
Cl 0.5000 0.2188 0.7812
Cl 0.5000 0.4375 0.2188
Cl 0.5000 0.7812 0.5625
Cl 0.0000 0.5000 0.5000
Cl 0.0000 0.0000 0.5000
Cs 0.0000 0.0000 0.0000
U 0.0000 0.6667 0.3333
U 0.0000 0.3333 0.6667

Values from the calculation:
M_tot (μB per cell): 4.00
Crystal system: hexagonal
Total DFT energy (no corrections) (eV for the cell shown): -59.3
Formation energy (no corrections) (eV per atom): -1.61
Mass density (g/cm3): 4.560


Entry 3:
Here is Cs2UCl7 after structural relaxation from the Alexandria database. Energies are from PBE.

a = 8.6427 Å, b = 10.0129 Å, c = 10.5305 Å
α = 84.33°, β = 65.77°, γ = 64.43°
Atoms (fractional coordinates):
Cs 0.2326 0.5616 0.7689
Cs 0.4369 0.0616 0.2689
Cs 0.5631 0.9384 0.7311
Cs 0.7674 0.4384 0.2311
Cl 0.2277 0.8092 0.9985
Cl 0.1249 0.9716 0.6793
Cl 0.9646 0.3092 0.4985
Cl 0.0354 0.6908 0.5015
Cl 0.1273 0.2569 0.9132
Cl 0.3530 0.7500 0.2500
Cl 0.2242 0.4716 0.1793
Cl 0.2973 0.2431 0.5868
Cl 0.8727 0.7431 0.0868
Cl 0.7027 0.7569 0.4132
Cl 0.7758 0.5284 0.8207
Cl 0.7723 0.1908 0.0015
Cl 0.6470 0.2500 0.7500
Cl 0.8751 0.0284 0.3207
U 0.0496 0.7500 0.2500
U 0.9504 0.2500 0.7500

Values from the calculation:
M_tot (μB per cell): 2.00
Crystal system: monoclinic
Total DFT energy (no corrections) (eV for the cell shown): -87.6
Formation energy (no corrections) (eV per atom): -1.79
Mass density (g/cm3): 3.347


Entry 4:
Here is CsUVCl6 after structural relaxation from the Alexandria database. Energies are from PBE.

a = 6.8226 Å, b = 6.8226 Å, c = 7.8817 Å
α = 90.00°, β = 90.00°, γ = 60.00°
Atoms (fractional coordinates):
Cl 0.6471 0.3805 0.6885
Cl 0.9723 0.6472 0.6886
Cl 0.6472 0.9723 0.3114
Cl 0.3805 0.9723 0.6886
Cl 0.3805 0.6472 0.3114
Cl 0.9723 0.3805 0.3114
V 0.6666 0.6667 0.5000
Cs 0.0000 0.0000 0.0000
U 0.3333 0.3333 0.5000

Values from the calculation:
M_tot (μB per cell): 6.00
Crystal system: trigonal
Total DFT energy (no corrections) (eV for the cell shown): -46.7
Formation energy (no corrections) (eV per atom): -1.59
Mass density (g/cm3): 3.316


Entry 5:
Here is CsUZnCl6 after structural relaxation from the Alexandria database. Energies are from PBE.

a = 6.9889 Å, b = 6.9889 Å, c = 7.6123 Å
α = 90.00°, β = 90.00°, γ = 60.00°
Atoms (fractional coordinates):
Cl 0.3695 0.6063 0.3050
Cl 0.0241 0.6063 0.6950
Cl 0.6063 0.3695 0.6950
Cl 0.3695 0.0242 0.6950
Cl 0.6063 0.0242 0.3050
Cl 0.0241 0.3695 0.3050
Zn 0.3333 0.3333 0.5000
Cs 0.0000 0.0000 0.0000
U 0.6666 0.6667 0.5000

Values from the calculation:
M_tot (μB per cell): 3.00
Crystal system: trigonal
Total DFT energy (no corrections) (eV for the cell shown): -38.6
Formation energy (no corrections) (eV per atom): -1.56
Mass density (g/cm3): 3.347


Entry 6:
Here is Cs6V3Cl14 after structural relaxation from the Alexandria database. Energies are from PBE.

a = 12.3905 Å, b = 12.3905 Å, c = 6.6368 Å
α = 90.00°, β = 90.00°, γ = 120.00°
Atoms (fractional coordinates):
Cl 0.5381 0.1443 0.2938
Cl 0.7937 0.5220 0.7057
Cl 0.4780 0.2717 0.7057
Cl 0.3333 0.6667 0.9898
Cl 0.5270 0.7952 0.4566
Cl 0.8557 0.3938 0.2938
Cl 0.6062 0.4619 0.2938
Cl 0.7283 0.2063 0.7057
Cl 0.0608 0.1925 0.9352
Cl 0.2048 0.7319 0.4566
Cl 0.2681 0.4730 0.4566
Cl 0.0000 0.0000 0.4625
Cl 0.8075 0.8683 0.9352
Cl 0.1317 0.9392 0.9352
Cs 0.3124 0.2196 0.2486
Cs 0.7804 0.0927 0.2486
Cs 0.0175 0.4490 0.7771
Cs 0.5510 0.5686 0.7771
Cs 0.9073 0.6876 0.2486
Cs 0.4314 0.9825 0.7771
V 0.0000 0.0000 0.8068
V 0.6667 0.3333 0.4990
V 0.3333 0.6667 0.3337

Values from the calculation:
M_tot (μB per cell): 7.00
Crystal system: trigonal
Total DFT energy (no corrections) (eV for the cell shown): -95.5
Formation energy (no corrections) (eV per atom): -1.62
Mass density (g/cm3): 2.722


Entry 7:
Here is Cs2VCl5 after structural relaxation from the Alexandria database. Energies are from PBE.

a = 4.9144 Å, b = 7.5516 Å, c = 7.5516 Å
α = 90.00°, β = 90.00°, γ = 90.00°
Atoms (fractional coordinates):
Cl 0.0000 0.2232 0.2232
Cl 0.0000 0.7768 0.7768
Cl 0.0000 0.7768 0.2232
Cl 0.0000 0.2232 0.7768
Cl 0.5000 0.0000 0.0000
Cs 0.5000 0.0000 0.5000
Cs 0.5000 0.5000 0.0000
V 0.0000 0.0000 0.0000

Values from the calculation:
M_tot (μB per cell): 2.00
Crystal system: tetragonal
Total DFT energy (no corrections) (eV for the cell shown): -33.3
Formation energy (no corrections) (eV per atom): -1.65
Mass density (g/cm3): 2.927


Entry 8:
Here is Cs3V2Cl8 after structural relaxation from the Alexandria database. Energies are from PBE.

a = 7.6306 Å, b = 7.6306 Å, c = 9.6332 Å
α = 66.67°, β = 66.67°, γ = 60.00°
Atoms (fractional coordinates):
Cl 0.2043 0.7221 0.3516
Cl 0.7957 0.2779 0.6484
Cl 0.6386 0.6386 0.0843
Cl 0.2779 0.2779 0.6484
Cl 0.3614 0.3614 0.9157
Cl 0.7221 0.7221 0.3516
Cl 0.2779 0.7957 0.6484
Cl 0.7221 0.2043 0.3516
V 0.4597 0.4597 0.6208
V 0.5403 0.5403 0.3792
Cs 0.2309 0.2309 0.3072
Cs 0.0000 0.0000 0.0000
Cs 0.7691 0.7691 0.6928

Values from the calculation:
M_tot (μB per cell): 0.87
Crystal system: trigonal
Total DFT energy (no corrections) (eV for the cell shown): -54.2
Formation energy (no corrections) (eV per atom): -1.43
Mass density (g/cm3): 3.015